1.
First-principles (PBE) data for CsNb2FeP after structural relaxation, as listed in Alexandria.

Summary:
ΔH_f (0 K): 1.43 eV/atom

a = 4.7151 Å, b = 4.7151 Å, c = 5.1710 Å
α = 90.00°, β = 90.00°, γ = 90.00°
With the nearest neighbours (Å) after each atom.
Sites, in units of the cell vectors:
Cs (0.0000, 0.0000, 0.0000)  2 Fe 2.59
Nb (0.0000, 0.5000, 0.5000)  2 Fe 2.36
Nb (0.5000, 0.0000, 0.5000)  2 Fe 2.36
Fe (0.0000, 0.0000, 0.5000)  4 Nb 2.36, 2 Cs 2.59
P (0.5000, 0.5000, 0.0000)  4 Cs 3.33, 8 Nb 3.50

2.
First-principles (PBE) data for CsNbFeTePd after structural relaxation, as listed in Alexandria.

Summary:
Energy above the most stable polymorph in this dataset: 268 meV per atom

a = 4.3764 Å, b = 4.3764 Å, c = 8.4321 Å
α = 94.35°, β = 94.35°, γ = 63.13°
With the nearest neighbours (Å) after each atom.
Sites, in units of the cell vectors:
Cs (0.0000, 0.0000, 0.0000)  3 Te 3.88-3.96, 3 Fe 3.98-4.05, 3 Nb 3.98-4.14, 1 Pd 4.08
Nb (0.6415, 0.6415, 0.6209)  3 Fe 2.56-2.58, 3 Pd 2.61-2.77, 1 Te 2.82
Fe (0.2964, 0.2964, 0.6303)  1 Te 2.53, 3 Nb 2.56-2.58, 3 Pd 2.62-2.81
Te (0.3916, 0.3916, 0.3500)  1 Fe 2.53, 2 Pd 2.70, 1 Nb 2.82
Pd (0.9592, 0.9592, 0.5145)  3 Nb 2.61-2.77, 3 Fe 2.62-2.81, 2 Te 2.70

3.
First-principles (PBE) data for CsNbFeTePd after structural relaxation, as listed in Alexandria.

Summary:
Energy above the most stable polymorph in this dataset: 58 meV per atom

a = 8.9613 Å, b = 8.9613 Å, c = 8.9613 Å
α = 27.21°, β = 27.21°, γ = 27.21°
With the nearest neighbours (Å) after each atom.
Sites, in units of the cell vectors:
Cs (0.0000, 0.0000, 0.0000)  3 Pd 3.53, 3 Te 3.90
Nb (0.1854, 0.1854, 0.1854)  3 Fe 2.45
Fe (0.8412, 0.8412, 0.8412)  3 Nb 2.45
Te (0.4510, 0.4510, 0.4510)  3 Fe 2.84, 3 Nb 3.00, 1 Pd 3.03
Pd (0.5680, 0.5680, 0.5680)  3 Nb 2.75, 3 Fe 2.89, 1 Te 3.03

4.
First-principles (PBE) data for CsNbFeTePd after structural relaxation, as listed in Alexandria.

Summary:
Energy above the most stable polymorph in this dataset: 104 meV per atom

a = 3.6173 Å, b = 3.6589 Å, c = 9.6949 Å
α = 90.00°, β = 100.53°, γ = 90.00°
With the nearest neighbours (Å) after each atom.
Sites, in units of the cell vectors:
Cs (0.0000, 0.0000, 0.0000)  1 Fe 3.34, 4 Cs 3.62-3.66
Nb (0.7791, 0.0000, 0.5464)  2 Fe 2.60, 2 Pd 2.81
Fe (0.1829, 0.0000, 0.3502)  4 Pd 2.58-2.59, 2 Nb 2.60
Te (0.3494, 0.5000, 0.6905)  4 Nb 2.92
Pd (0.6686, 0.5000, 0.3223)  4 Fe 2.58-2.59, 2 Nb 2.81